(1)
YMnBe2 after structural relaxation. Source: the Alexandria database, functional PBE.

POSCAR file:
```
YMnBe2
1.0
3.0063 0.0000 0.0000
0.0000 3.0063 0.0000
0.0000 0.0000 6.1596
Y Mn Be
1 1 2
Cartesian
0.0000 0.0000 0.0000 Y
0.0000 0.0000 3.0798 Mn
1.5031 1.5031 2.0286 Be
1.5031 1.5031 4.1310 Be
```

Summary:
SG: No. 123
ΔH_f (0 K): 0.12 eV per atom
total magnetization: 1.49 μB/cell
density: 4.83 g/cm³
calculated volume: 55.67 Å³/f.u.
polymorph energy (0 for the lowest one): 94.6 meV/atom

(2)
YMgCu after structural relaxation. Source: the Alexandria database, functional PBE.

POSCAR file:
```
YMgCu
1.0
6.5913 0.0000 0.0000
0.0000 6.5913 0.0000
0.0000 0.0000 6.5913
Y Mg Cu
4 4 4
Cartesian
0.0000 0.0000 0.0000 Y
0.0000 3.2956 3.2956 Y
3.2956 0.0000 3.2956 Y
3.2956 3.2956 0.0000 Y
0.0000 0.0000 3.2956 Mg
0.0000 3.2956 0.0000 Mg
3.2956 0.0000 0.0000 Mg
3.2956 3.2956 3.2956 Mg
1.6478 1.6478 4.9434 Cu
1.6478 4.9434 1.6478 Cu
4.9434 1.6478 1.6478 Cu
4.9434 4.9434 4.9434 Cu
```

Summary:
SG: No. 216
ΔH_f (0 K): -0.04 eV per atom
total magnetization: 0.00 μB/cell
density: 4.10 g/cm³
calculated volume: 71.59 Å³/f.u.
polymorph energy (0 for the lowest one): 175.5 meV/atom

(3)
PrPuGe2 after structural relaxation. Source: the Alexandria database, functional PBE.

POSCAR file:
```
PrPuGe2
1.0
4.0263 0.0000 0.0000
0.0000 4.4305 0.0000
0.0000 0.0000 11.1590
Pr Pu Ge
2 2 4
Cartesian
0.0000 0.0000 0.0000 Pr
0.0000 2.2153 5.5795 Pr
2.0131 0.0000 3.1772 Pu
2.0131 2.2153 8.7567 Pu
0.0000 0.0000 8.0433 Ge
0.0000 2.2153 2.4638 Ge
2.0131 0.0000 6.3319 Ge
2.0131 2.2153 0.7524 Ge
```

Summary:
SG: No. 38
ΔH_f (0 K): -0.60 eV per atom
total magnetization: 12.66 μB/cell
density: 8.85 g/cm³
calculated volume: 99.53 Å³/f.u.